1.
A plane-wave DFT calculation with PBE-GGA was carried out for an optimized crystal structure of PmGaNi2C.

Geometry as POSCAR:
```
PmGaNi2C
1.0
-3.1046 2.3461 -0.1332
0.9075 -1.7187 5.4834
4.0850 5.4646 1.0367
Ga Ni Pm C
2 4 2 2
direct
0.2704 0.5408 0.2500
0.7296 0.4592 0.7500
0.1594 0.3188 0.9391
0.8406 0.6812 0.4391
0.1594 0.3188 0.5609
0.8406 0.6812 0.0609
0.5497 0.0995 0.2500
0.4503 0.9005 0.7500
0.0000 0.0000 0.0000
0.0000 0.0000 0.5000
```

- Final energy: -6.054 eV/atom
- SG: Cmcm
- DOS at the Fermi energy: 6.2 states/eV/cell


2.
A plane-wave DFT calculation with PBE-GGA was carried out for an optimized crystal structure of GaNi2RuC.

Geometry as POSCAR:
```
GaNi2RuC
1.0
-0.9834 -2.4803 -2.7105
-1.5445 -2.2668 2.6347
-3.5063 1.8742 -0.4430
Ga C Ni Ru
1 1 2 1
direct
0.5000 0.5000 0.5000
0.0000 0.0000 0.0000
0.0000 0.5000 0.0000
0.5000 0.0000 0.0000
0.0000 0.0000 0.5000
```

- Final energy: -6.683 eV/atom
- SG: P4/mmm
- DOS at the Fermi energy: 2.8 states/eV/cell


3.
A plane-wave DFT calculation with PBE-GGA was carried out for an optimized crystal structure of Sc2GaNiC.

Geometry as POSCAR:
```
Sc2GaNiC
1.0
4.5081 0.0000 0.0000
0.0000 4.5081 0.0000
0.0000 0.0000 3.7788
C Sc Ni Ga
1 2 1 1
direct
0.0000 0.0000 0.0000
0.5000 0.0000 0.0000
0.0000 0.5000 0.0000
0.0000 0.0000 0.5000
0.5000 0.5000 0.5000
```

- Final energy: -6.602 eV/atom
- SG: P4/mmm
- DOS at the Fermi energy: 4.3 states/eV/cell


4.
A plane-wave DFT calculation with PBE-GGA was carried out for an optimized crystal structure of GaTcNi2C.

Geometry as POSCAR:
```
GaTcNi2C
1.0
-0.7981 -3.5254 1.1556
2.6239 -1.3720 -2.3735
2.7942 0.3195 2.9044
Tc Ga Ni C
1 1 2 1
direct
0.0000 0.0000 0.5000
0.5000 0.5000 0.5000
0.5000 0.0000 0.0000
0.0000 0.5000 0.0000
0.0000 0.0000 0.0000
```

- Final energy: -6.943 eV/atom
- SG: P4/mmm
- DOS at the Fermi energy: 1.5 states/eV/cell


5.
A plane-wave DFT calculation with PBE-GGA was carried out for an optimized crystal structure of Th2GaNiC.

Geometry as POSCAR:
```
Th2GaNiC
1.0
-0.0274 2.1521 -3.2296
-5.3614 3.0750 2.0946
6.6047 4.4500 2.9093
Th Ga Ni C
4 2 2 2
direct
0.7500 0.7801 0.0429
0.2500 0.2199 0.9571
0.7500 0.7856 0.6202
0.2500 0.2144 0.3798
0.2500 0.6992 0.3198
0.7500 0.3008 0.6802
0.7500 0.4680 0.2408
0.2500 0.5320 0.7592
0.7500 0.1631 0.1577
0.2500 0.8369 0.8423
```

- Final energy: -6.985 eV/atom
- SG: P2_1/m
- DOS at the Fermi energy: 9.8 states/eV/cell


6.
A plane-wave DFT calculation with PBE-GGA was carried out for an optimized crystal structure of Ti2GaNiC.

Geometry as POSCAR:
```
Ti2GaNiC
1.0
-3.7977 1.9098 1.8950
-1.8410 0.0390 -3.7287
-1.7302 -4.2440 0.8099
Ni Ti C Ga
1 2 1 1
direct
0.0000 0.5000 0.0000
0.5000 0.0000 0.0000
0.0000 0.0000 0.5000
0.5000 0.5000 0.5000
0.0000 0.0000 0.0000
```

- Final energy: -5.115 eV/atom
- SG: P4/mmm
- Polymorph energy (0 for the lowest one): 172.6 kJ/mol of atoms
- DOS at the Fermi energy: 3.9 states/eV/cell


7.
A plane-wave DFT calculation with PBE-GGA was carried out for an optimized crystal structure of Ti2GaNiC.

Geometry as POSCAR:
```
Ti2GaNiC
1.0
-3.9418 0.6112 1.0963
0.9125 -1.0853 3.8862
0.8205 3.7562 0.8563
Ti Ga Ni C
2 1 1 1
direct
0.5000 0.0000 0.0000
0.0000 0.5000 0.0000
0.0000 0.0000 0.5000
0.5000 0.5000 0.5000
0.0000 0.0000 0.0000
```

- Final energy: -6.904 eV/atom
- SG: P4/mmm
- Polymorph energy (0 for the lowest one): 0.0 kJ/mol of atoms
- DOS at the Fermi energy: 7.7 states/eV/cell


8.
A plane-wave DFT calculation with PBE-GGA was carried out for an optimized crystal structure of VGaNi2C.

Geometry as POSCAR:
```
VGaNi2C
1.0
-1.5658 1.2286 3.2313
-2.9026 -2.3938 -0.4964
1.9621 -2.7967 2.0141
Ni Ga V C
2 1 1 1
direct
0.5000 0.0000 0.0000
0.0000 0.5000 0.0000
0.5000 0.5000 0.5000
0.0000 0.0000 0.5000
0.0000 0.0000 0.0000
```

- Final energy: -6.732 eV/atom
- SG: P4/mmm
- DOS at the Fermi energy: 5.6 states/eV/cell


9.
A plane-wave DFT calculation with PBE-GGA was carried out for an optimized crystal structure of ZrGa2NiC.

Geometry as POSCAR:
```
ZrGa2NiC
1.0
-5.2413 0.7355 0.5527
-0.6959 -1.8646 -4.1181
-0.4369 -4.8032 2.2486
Ga C Ni Zr
2 1 1 1
direct
0.0000 0.0000 0.5000
0.5000 0.0000 0.0000
0.5000 0.5000 0.5000
0.0000 0.5000 0.0000
0.0000 0.0000 0.0000
```

- Final energy: -3.809 eV/atom
- SG: P4/mmm
- DOS at the Fermi energy: 4.4 states/eV/cell


10.
A plane-wave DFT calculation with PBE-GGA was carried out for an optimized crystal structure of NpGaC2.

Geometry as POSCAR:
```
NpGaC2
1.0
3.6763 0.0000 0.0000
1.8382 3.1838 0.0000
1.8382 1.0613 5.6785
Np C Ga
1 2 1
direct
0.5000 0.5000 0.5000
0.8899 0.8899 0.3302
0.1101 0.1101 0.6698
0.0000 0.0000 0.0000
```

- Final energy: -7.996 eV/atom
- SG: R-3m
- DOS at the Fermi energy: 6.1 states/eV/cell


11.
A plane-wave DFT calculation with PBE-GGA was carried out for an optimized crystal structure of GaCO2.

Geometry as POSCAR:
```
GaCO2
1.0
-0.4966 -3.5359 0.9749
-0.8342 -0.8542 3.5035
-3.3870 -1.2274 0.8495
Ga C O
1 1 2
direct
0.5000 0.5000 0.5000
0.0000 0.0000 0.0000
0.2500 0.2500 0.2500
0.7500 0.7500 0.7500
```

- Final energy: -4.535 eV/atom
- SG: Fm-3m
- DOS at the Fermi energy: 1.2 states/eV/cell


12.
A plane-wave DFT calculation with PBE-GGA was carried out for an optimized crystal structure of GaCO2.

Geometry as POSCAR:
```
GaCO2
1.0
4.2144 0.0000 0.0000
0.0000 4.2144 0.0000
2.1072 2.1072 5.2007
O C Ga
4 2 2
direct
0.1112 0.6250 0.2500
0.3750 0.3612 0.7500
0.8750 0.8888 0.7500
0.6388 0.1250 0.2500
0.5000 0.5000 0.0000
0.2500 0.7500 0.5000
0.7500 0.2500 0.5000
0.0000 0.0000 0.0000
```

- Final energy: -5.035 eV/atom
- SG: I-42d
- DOS at the Fermi energy: 1.4 states/eV/cell


13.
A plane-wave DFT calculation with PBE-GGA was carried out for an optimized crystal structure of GaCO3.

Geometry as POSCAR:
```
GaCO3
1.0
-2.1796 -3.0702 0.0095
1.4919 -1.0489 3.2940
-2.6833 1.9106 1.8238
Ga O C
1 3 1
direct
0.0000 0.0000 0.0000
0.0000 0.5000 0.0000
0.0000 0.0000 0.5000
0.5000 0.0000 0.0000
0.5000 0.5000 0.5000
```

- Final energy: -4.486 eV/atom
- SG: Pm-3m
- DOS at the Fermi energy: 2.0 states/eV/cell


14.
A plane-wave DFT calculation with PBE-GGA was carried out for an optimized crystal structure of Ga2C2O7.

Geometry as POSCAR:
```
Ga2C2O7
1.0
-1.5265 -2.4189 -2.9469
1.8295 -3.5399 2.9865
-4.2808 1.2673 2.2058
O C Ga
7 2 2
direct
0.2731 0.9220 0.6260
0.0000 0.0000 0.0000
0.7946 0.6265 0.6265
0.2054 0.3735 0.3735
0.7269 0.0780 0.3740
0.7269 0.3740 0.0780
0.2731 0.6260 0.9220
0.0875 0.7938 0.7938
0.9125 0.2062 0.2062
0.5000 0.6931 0.3069
0.5000 0.3069 0.6931
```

- Final energy: -6.603 eV/atom
- SG: C2/m
- DOS at the Fermi energy: 0.0 states/eV/cell


15.
A plane-wave DFT calculation with PBE-GGA was carried out for an optimized crystal structure of GaCO2.

Geometry as POSCAR:
```
GaCO2
1.0
5.4386 2.0269 1.1986
5.1298 -0.2668 2.9558
5.8873 -0.6564 0.1776
O Ga C
2 1 1
direct
0.1052 0.1052 0.1052
0.8948 0.8948 0.8948
0.5000 0.5000 0.5000
0.0000 0.0000 0.0000
```

- Final energy: -5.267 eV/atom
- SG: R-3m
- DOS at the Fermi energy: 0.9 states/eV/cell


16.
A plane-wave DFT calculation with PBE-GGA was carried out for an optimized crystal structure of GaPCO2.

Geometry as POSCAR:
```
GaPCO2
1.0
-1.0116 3.3393 -0.2274
-2.7288 -0.6853 2.0760
4.0887 1.6414 5.9160
O P Ga C
2 1 1 1
direct
0.0000 0.5000 0.0000
0.5000 0.0000 0.0000
0.0000 0.0000 0.5000
0.0000 0.0000 0.0000
0.5000 0.5000 0.5000
```

- Final energy: -4.591 eV/atom
- SG: P4/mmm
- Polymorph energy (0 for the lowest one): 12.9 kJ/mol of atoms
- DOS at the Fermi energy: 3.3 states/eV/cell


17.
A plane-wave DFT calculation with PBE-GGA was carried out for an optimized crystal structure of GaPCO2.

Geometry as POSCAR:
```
GaPCO2
1.0
-1.5886 2.9259 -1.3613
-3.1404 -1.0525 1.4027
0.8200 1.9965 3.3341
O C P Ga
2 1 1 1
direct
0.0000 0.5000 0.0000
0.5000 0.0000 0.0000
0.0000 0.0000 0.0000
0.0000 0.0000 0.5000
0.5000 0.5000 0.5000
```

- Final energy: -4.726 eV/atom
- SG: P4/mmm
- Polymorph energy (0 for the lowest one): 0.0 kJ/mol of atoms
- DOS at the Fermi energy: 2.3 states/eV/cell


18.
A plane-wave DFT calculation with PBE-GGA was carried out for an optimized crystal structure of Ga2ReCO.

Geometry as POSCAR:
```
Ga2ReCO
1.0
4.6920 0.0000 0.0000
0.0000 2.9527 0.0000
0.0000 0.0000 4.6920
C Ga Re O
1 2 1 1
direct
0.0000 0.5000 0.0000
0.5000 0.0000 0.0000
0.0000 0.0000 0.5000
0.5000 0.5000 0.5000
0.0000 0.0000 0.0000
```

- Final energy: -5.484 eV/atom
- SG: P4/mmm
- DOS at the Fermi energy: 3.1 states/eV/cell


19.
A plane-wave DFT calculation with PBE-GGA was carried out for an optimized crystal structure of Sm6Ga2CO.

Geometry as POSCAR:
```
Sm6Ga2CO
1.0
4.9202 0.0000 0.0000
0.0000 4.9202 0.0000
0.0000 0.0000 9.8572
Sm C Ga O
6 1 2 1
direct
0.0000 0.5000 0.5000
0.5000 0.5000 0.7514
0.5000 0.0000 0.5000
0.0000 0.5000 0.0000
0.5000 0.0000 0.0000
0.5000 0.5000 0.2486
0.5000 0.5000 0.0000
0.0000 0.0000 0.7433
0.0000 0.0000 0.2567
0.5000 0.5000 0.5000
```

- Final energy: -5.717 eV/atom
- SG: P4/mmm
- DOS at the Fermi energy: 5.4 states/eV/cell